# 1
Computed, not measured: a relaxed GaCoNiRh crystal at the PBE-GGA level of DFT.

a = 5.8599 Å, b = 5.8599 Å, c = 5.8599 Å
α = 90.00°, β = 90.00°, γ = 90.00°
Last column: nearest neighbours and their distance in Å.
Fractional coordinates of all 16 atoms:
1 Ga 0.0000 0.0000 0.0000  4 Co 2.54, 4 Rh 2.54
2 Ga 0.0000 0.5000 0.5000  4 Co 2.54, 4 Rh 2.54
3 Ga 0.5000 0.0000 0.5000  4 Co 2.54, 4 Rh 2.54
4 Ga 0.5000 0.5000 0.0000  4 Co 2.54, 4 Rh 2.54
5 Co 0.2500 0.2500 0.2500  4 Ni 2.54, 4 Ga 2.54
6 Co 0.2500 0.7500 0.7500  4 Ni 2.54, 4 Ga 2.54
7 Co 0.7500 0.2500 0.7500  4 Ni 2.54, 4 Ga 2.54
8 Co 0.7500 0.7500 0.2500  4 Ni 2.54, 4 Ga 2.54
9 Ni 0.0000 0.0000 0.5000  4 Rh 2.54, 4 Co 2.54
10 Ni 0.0000 0.5000 0.0000  4 Rh 2.54, 4 Co 2.54
11 Ni 0.5000 0.0000 0.0000  4 Rh 2.54, 4 Co 2.54
12 Ni 0.5000 0.5000 0.5000  4 Co 2.54, 4 Rh 2.54
13 Rh 0.2500 0.2500 0.7500  4 Ni 2.54, 4 Ga 2.54
14 Rh 0.2500 0.7500 0.2500  4 Ni 2.54, 4 Ga 2.54
15 Rh 0.7500 0.2500 0.2500  4 Ni 2.54, 4 Ga 2.54
16 Rh 0.7500 0.7500 0.7500  4 Ni 2.54, 4 Ga 2.54

Results
* mass density: 9581 kg/m³
* Fermi-level density of states: 11.24 states/eV per cell
* energy of formation from the pure elements: -0.213 eV per atom
* symmetry: F-43m, No. 216

---

# 2
Computed, not measured: a relaxed VGeSb2 crystal at the PBE-GGA level of DFT.

a = 6.3552 Å, b = 6.3552 Å, c = 11.9949 Å
α = 90.00°, β = 90.00°, γ = 90.00°
Last column: nearest neighbours and their distance in Å.
Fractional coordinates of all 16 atoms:
1 V 0.0000 0.0000 0.0000  4 Sb 2.70
2 V 0.0000 0.5000 0.2500  4 Sb 2.70
3 V 0.5000 0.0000 0.7500  4 Sb 2.70
4 V 0.5000 0.5000 0.5000  4 Sb 2.70
5 Ge 0.0000 0.0000 0.5000  4 Sb 2.70
6 Ge 0.0000 0.5000 0.7500  4 Sb 2.70
7 Ge 0.5000 0.0000 0.2500  4 Sb 2.70
8 Ge 0.5000 0.5000 0.0000  4 Sb 2.70
9 Sb 0.2492 0.2500 0.6250  2 Ge 2.70, 2 V 2.70
10 Sb 0.2500 0.7492 0.8750  2 Ge 2.70, 2 V 2.70
11 Sb 0.2500 0.7508 0.3750  2 Ge 2.70, 2 V 2.70
12 Sb 0.2508 0.2500 0.1250  2 Ge 2.70, 2 V 2.70
13 Sb 0.7492 0.7500 0.1250  2 Ge 2.70, 2 V 2.70
14 Sb 0.7500 0.2492 0.3750  2 Ge 2.70, 2 V 2.70
15 Sb 0.7500 0.2508 0.8750  2 Ge 2.70, 2 V 2.70
16 Sb 0.7508 0.7500 0.6250  2 Ge 2.70, 2 V 2.70

Results
* formation energy without anion corrections: 1.4 eV/f.u.
* mass density: 5033 kg/m³
* Fermi-level density of states: 8.70 states/eV per cell
* symmetry: I-42d, No. 122

---

# 3
Computed, not measured: a relaxed VB4Mo crystal at the PBE-GGA level of DFT.

a = 3.0341 Å, b = 5.2597 Å, c = 6.3098 Å
α = 90.00°, β = 90.00°, γ = 90.00°
Last column: nearest neighbours and their distance in Å.
Fractional coordinates of all 12 atoms:
1 V 0.0000 0.0000 0.0000  12 B 2.34-2.38
2 V 0.5000 0.5000 0.5000  12 B 2.34-2.38
3 B 0.0000 0.3334 0.2543  3 B 1.75
4 B 0.0000 0.3334 0.7457  3 B 1.75
5 B 0.0000 0.6666 0.2543  3 B 1.75
6 B 0.0000 0.6666 0.7457  3 B 1.75
7 B 0.5000 0.1666 0.2457  3 B 1.75
8 B 0.5000 0.1666 0.7543  3 B 1.75
9 B 0.5000 0.8334 0.2457  3 B 1.75
10 B 0.5000 0.8334 0.7543  3 B 1.75
11 Mo 0.0000 0.0000 0.5000  12 B 2.34-2.38
12 Mo 0.5000 0.5000 0.0000  12 B 2.34-2.38

Results
* mass density: 6271 kg/m³
* Fermi-level density of states: 6.40 states/eV per cell
* energy of formation from the pure elements: -0.504 eV per atom
* polymorph energy (0 for the lowest one): 0 kJ/mol of formula units
* symmetry: Immm, No. 71

---

Which formula does entry 2 have?
VGeSb2

---

Among the records above, which one has the lowest Fermi-level density of states?
VB4Mo

---

The highest Fermi-level density of states belongs to which entry?
GaCoNiRh